# 1
DFT (PBE) results for an optimized crystal structure of CrGe4Mo2.

**E_form**: 648.4 meV per atom

Cell: 7.0577 7.0577 7.0577 Å, 141.79 141.79 55.15°
Positions (direct):
Cr 0.0000 0.0000 0.0000
Ge 0.0000 0.5000 0.5000
Ge 0.1948 0.1948 0.0000
Ge 0.5000 0.0000 0.5000
Ge 0.8052 0.8052 0.0000
Mo 0.4003 0.4003 0.0000
Mo 0.5997 0.5997 0.0000

=====

# 2
DFT (PBE) results for an optimized crystal structure of HfSiPd.

**ΔE_f (raw)**: -829 meV/atom

Cell: 4.2805 4.2805 3.1053 Å, 90.00 90.00 120.00°
Positions (direct):
Hf 0.0000 0.0000 0.0000
Si 0.3333 0.6667 0.5000
Pd 0.6667 0.3333 0.5000

=====

# 3
DFT (PBE) results for an optimized crystal structure of RbTiNiSe4.

**ΔE_f (raw)**: -701 meV/atom

Cell: 6.4462 5.8121 9.6909 Å, 90.00 109.11 90.00°
Positions (direct):
Rb 0.2202 0.2500 0.0449
Rb 0.7798 0.7500 0.9551
Ti 0.2671 0.2500 0.5579
Ti 0.7329 0.7500 0.4421
Ni 0.2671 0.7500 0.3355
Ni 0.7329 0.2500 0.6645
Se 0.0112 0.5038 0.6711
Se 0.0112 0.9962 0.6711
Se 0.4461 0.7500 0.5829
Se 0.4670 0.7500 0.1793
Se 0.5330 0.2500 0.8207
Se 0.5539 0.2500 0.4171
Se 0.9888 0.0038 0.3289
Se 0.9888 0.4962 0.3289

=====

# 4
DFT (PBE) results for an optimized crystal structure of Pr5Sb2N.

**ΔE_f (raw)**: -723 meV/atom

Cell: 9.3295 8.3213 5.8830 Å, 80.11 61.48 38.40°
Positions (direct):
Pr 0.0000 0.0000 0.0000
Pr 0.2222 0.5403 0.4597
Pr 0.4597 0.7778 0.2222
Pr 0.5403 0.2222 0.7778
Pr 0.7778 0.4597 0.5403
Sb 0.1946 0.1946 0.8054
Sb 0.8054 0.8054 0.1946
N 0.5000 0.5000 0.5000

=====

# 5
DFT (PBE) results for an optimized crystal structure of Be4CoIr3.

**E_form**: -470.5 meV per atom

Cell: 2.7777 2.7777 10.9504 Å, 90.00 90.00 90.00°
Positions (direct):
Be 0.0000 0.0000 0.1138
Be 0.0000 0.0000 0.3702
Be 0.0000 0.0000 0.6298
Be 0.0000 0.0000 0.8862
Co 0.5000 0.5000 0.0000
Ir 0.5000 0.5000 0.2397
Ir 0.5000 0.5000 0.5000
Ir 0.5000 0.5000 0.7603

=====

# 6
DFT (PBE) results for an optimized crystal structure of MnTcMoP.

**E_form**: -199.1 meV per atom

Cell: 4.2145 4.2145 4.2145 Å, 60.00 60.00 60.00°
Positions (direct):
Mn 0.0000 0.0000 0.0000
Tc 0.2500 0.2500 0.2500
Mo 0.7500 0.7500 0.7500
P 0.5000 0.5000 0.5000

=====

| no. | magnetic moment (μB/cell) |
| --- | --- |
| 1 | 0.000 |
| 2 | 0.000 |
| 3 | 0.000 |
| 4 | 0.000 |
| 5 | 0.791 |
| 6 | 1.932 |